First-principles (meta-GGA SCAN) data for BeZnTe2 at its PBEsol-relaxed geometry, as listed in Alexandria via LeMat-Bulk.

It has space group R3m (No. 160, hexagonal axes), with a = 4.1380 Å, b = 4.1380 Å, c = 24.9907 Å, α = 90.00°, β = 90.00° and γ = 120.00°. The distinct sites, in fractional coordinates, are Be at (0.0000, 0.0000, 0.0000), Zn at (0.0000, 0.0000, 0.1727), Te at (0.0000, 0.0000, 0.4776) and Te at (0.0000, 0.0000, 0.6644).

For the energy above the most stable polymorph in this dataset, the calculation gives 302 meV/atom. The final energy comes out at -0.85440 Ha/atom. For the calculated volume, the calculation gives 30.88 Å³/atom. The raw formation energy comes out at -0.16 eV per atom.